1.
{"formula": "CsAg3Se4", "functional": "GGA-PBE", "state": "optimized geometry", "cell": [[9.163, -1.990, 0.000], [9.163, 1.990, 0.000], [-0.330, 0.000, 5.937]], "species": ["Cs", "Ag", "Ag", "Ag", "Se", "Se", "Se", "Se"], "frac_coords": [[0.000, 0.000, 0.000], [0.329, 0.329, 0.190], [0.500, 0.500, 0.500], [0.671, 0.671, 0.810], [0.112, 0.112, 0.505], [0.183, 0.183, 0.152], [0.817, 0.817, 0.848], [0.888, 0.888, 0.495]], "dft_energy_ev_per_atom": -3.05, "dos_at_fermi_per_ev_fu": 1.4, "m_tot_mub_per_cell": 0.000, "volume_a3_per_atom": 27.07, "mass_density_kg_m3": 5923}


2.
{"formula": "CsAg3Se3", "functional": "GGA-PBE", "state": "optimized geometry", "cell": [[7.439, 0.000, 0.000], [0.000, 7.439, 0.000], [0.000, 0.000, 7.439]], "species": ["Cs", "Cs", "Ag", "Ag", "Ag", "Ag", "Ag", "Ag", "Se", "Se", "Se", "Se", "Se", "Se"], "frac_coords": [[0.000, 0.000, 0.000], [0.500, 0.500, 0.500], [0.000, 0.250, 0.500], [0.000, 0.750, 0.500], [0.250, 0.500, 0.000], [0.500, 0.000, 0.250], [0.500, 0.000, 0.750], [0.750, 0.500, 0.000], [0.000, 0.500, 0.250], [0.000, 0.500, 0.750], [0.250, 0.000, 0.500], [0.500, 0.250, 0.000], [0.500, 0.750, 0.000], [0.750, 0.000, 0.500]], "dft_energy_ev_per_atom": -3.17, "dos_at_fermi_per_ev_fu": 5.8, "m_tot_mub_per_cell": 0.000, "volume_a3_per_atom": 29.40, "mass_density_kg_m3": 5594}


3.
{"formula": "CsAg3Se", "functional": "GGA-PBE", "state": "optimized geometry", "cell": [[5.436, 0.000, 0.000], [0.000, 5.436, 0.000], [0.000, 0.000, 5.436]], "species": ["Cs", "Ag", "Ag", "Ag", "Se"], "frac_coords": [[0.000, 0.000, 0.000], [0.000, 0.500, 0.500], [0.500, 0.000, 0.500], [0.500, 0.500, 0.000], [0.500, 0.500, 0.500]], "dft_energy_ev_per_atom": -2.46, "dos_at_fermi_per_ev_fu": 2.0, "m_tot_mub_per_cell": 0.000, "volume_a3_per_atom": 32.13, "mass_density_kg_m3": 5534}


Please write out number 2 again, unchanged.
{"formula": "CsAg3Se3", "functional": "GGA-PBE", "state": "optimized geometry", "cell": [[7.439, 0.000, 0.000], [0.000, 7.439, 0.000], [0.000, 0.000, 7.439]], "species": ["Cs", "Cs", "Ag", "Ag", "Ag", "Ag", "Ag", "Ag", "Se", "Se", "Se", "Se", "Se", "Se"], "frac_coords": [[0.000, 0.000, 0.000], [0.500, 0.500, 0.500], [0.000, 0.250, 0.500], [0.000, 0.750, 0.500], [0.250, 0.500, 0.000], [0.500, 0.000, 0.250], [0.500, 0.000, 0.750], [0.750, 0.500, 0.000], [0.000, 0.500, 0.250], [0.000, 0.500, 0.750], [0.250, 0.000, 0.500], [0.500, 0.250, 0.000], [0.500, 0.750, 0.000], [0.750, 0.000, 0.500]], "dft_energy_ev_per_atom": -3.17, "dos_at_fermi_per_ev_fu": 5.8, "m_tot_mub_per_cell": 0.000, "volume_a3_per_atom": 29.40, "mass_density_kg_m3": 5594}